Entry from Alexandria: a relaxed structure of AlTlOs2 (PBE-GGA).

Properties
As for the space group: Pmmm, No. 47. The value obtained for the energy above the most stable polymorph in this dataset is 185 kJ/mol of formula units. The calculated density comes out at 15.32 g/cm³.

Unit cell a=2.9855 b=4.9754 c=4.4649 alpha=90.00 beta=90.00 gamma=90.00
Fractional positions:
Tl (0.5000, 0.0000, 0.5000)
Os (0.0000, 0.0000, 0.0000)
Os (0.5000, 0.5000, 0.0000)
Al (0.0000, 0.5000, 0.5000)

---

Entry from Alexandria: a relaxed structure of Ac3Ge4Rh4 (PBE-GGA).

Properties
As for the space group: Immm, No. 71. The calculated density comes out at 9.50 g/cm³.

Unit cell a=4.3270 b=4.3343 c=13.2537 alpha=99.41 beta=99.39 gamma=90.00
Fractional positions:
Ac (0.3546, 0.8546, 0.7091)
Ac (0.6454, 0.1454, 0.2909)
Ac (0.0000, 0.0000, 0.0000)
Ge (0.8003, 0.3003, 0.6005)
Ge (0.4503, 0.4503, 0.9007)
Ge (0.5497, 0.5497, 0.0993)
Ge (0.1997, 0.6997, 0.3995)
Rh (0.2496, 0.2496, 0.4991)
Rh (0.1008, 0.6008, 0.2015)
Rh (0.8992, 0.3992, 0.7985)
Rh (0.7504, 0.7504, 0.5009)

---

Entry from Alexandria: a relaxed structure of Ac6YTm2 (PBE-GGA).

Properties
As for the space group: C2/m, No. 12. The calculated density comes out at 7.86 g/cm³.

Unit cell a=9.4190 b=6.6565 c=12.7425 alpha=108.83 beta=90.00 gamma=90.00
Fractional positions:
Ac (0.0000, 0.1308, 0.8032)
Ac (0.3024, 0.1978, 0.4043)
Ac (0.1977, 0.3021, 0.0957)
Ac (0.6977, 0.1979, 0.4043)
Ac (0.8024, 0.3022, 0.0957)
Ac (0.5000, 0.3692, 0.6968)
Ac (0.0000, 0.8692, 0.1968)
Ac (0.6976, 0.8022, 0.5957)
Ac (0.8023, 0.6979, 0.9043)
Ac (0.3023, 0.8021, 0.5957)
Ac (0.1976, 0.6978, 0.9043)
Ac (0.5000, 0.6308, 0.3032)
Y (0.5000, 0.5000, 0.0000)
Y (0.0000, 0.0000, 0.5000)
Tm (0.5000, 0.0173, 0.1370)
Tm (0.0000, 0.4827, 0.3630)
Tm (0.0000, 0.5173, 0.6370)
Tm (0.5000, 0.9827, 0.8630)

---

no.,magnetic moment (μB per formula unit),volume (Å³ per cell),ΔE_f (meV/atom)
1,0.00,66.32,706
2,0.00,241.84,-871
3,0.00,756.18,204